## SmCo4Cu3O12 (PBE+U)

Data for SmCo4Cu3O12 after structural relaxation.

SG ... Im-3 (204)
Total magnetization ... 8.00 μB per formula unit
Raw total energy ... -118.88 eV per formula unit

Unit cell a=6.3214 b=6.3214 c=6.3214 alpha=109.47 beta=109.47 gamma=109.47
Atoms (fractional coordinates):
O  0.1720  0.8650  0.6930
O  0.8280  0.5211  0.6930
O  0.5211  0.6930  0.8280
O  0.6930  0.1720  0.8650
O  0.1350  0.3070  0.8280
O  0.3070  0.1720  0.4789
O  0.6930  0.8280  0.5211
O  0.1720  0.4789  0.3070
O  0.8650  0.6930  0.1720
O  0.3070  0.8280  0.1350
O  0.8280  0.1350  0.3070
O  0.4789  0.3070  0.1720
Cu  0.5000  0.0000  0.5000
Cu  0.0000  0.5000  0.5000
Cu  0.5000  0.5000  0.0000
Co  0.0000  0.5000  0.0000
Co  0.0000  0.0000  0.5000
Co  0.5000  0.0000  0.0000
Co  0.5000  0.5000  0.5000
Sm  0.0000  0.0000  0.0000